Computed, not measured: crystalline CaLaTl2Co at its relaxed geometry at the PBE level of DFT.

The structure in CIF format:
```
data_CaLaTl2Co
_space_group_name_H-M_alt 'P 4/m m m'
_space_group_IT_number 123
_space_group_name_Hall '-P 4 2'
_cell_length_a 5.3262
_cell_length_b 5.3262
_cell_length_c 4.8722
_cell_angle_alpha 90.00
_cell_angle_beta 90.00
_cell_angle_gamma 90.00
loop_
_atom_site_label
_atom_site_type_symbol
_atom_site_fract_x
_atom_site_fract_y
_atom_site_fract_z
Ca1 Ca 0.0000 0.0000 0.0000
La1 La 0.5000 0.5000 0.0000
Tl1 Tl 0.0000 0.5000 0.5000
Co1 Co 0.5000 0.5000 0.5000
```

The value obtained for the total magnetic moment is 0.00 μB per formula unit. The density of states at the Fermi level comes out at 3.04 states/eV per cell. For the energy of formation, the calculation gives -169 meV/atom. For the calculated volume, the calculation gives 138.22 Å³/cell. The calculation puts the uncorrected energy at -19.61 eV per formula unit.

Computed, not measured: crystalline Ca2LaTlCo at its relaxed geometry at the PBE level of DFT.

The structure in CIF format:
```
data_Ca2LaTlCo
_space_group_name_H-M_alt 'P 4/m m m'
_space_group_IT_number 123
_space_group_name_Hall '-P 4 2'
_cell_length_a 5.4617
_cell_length_b 5.4617
_cell_length_c 5.1213
_cell_angle_alpha 90.00
_cell_angle_beta 90.00
_cell_angle_gamma 90.00
loop_
_atom_site_label
_atom_site_type_symbol
_atom_site_fract_x
_atom_site_fract_y
_atom_site_fract_z
Ca1 Ca 0.0000 0.5000 0.0000
La1 La 0.0000 0.0000 0.5000
Tl1 Tl 0.5000 0.5000 0.5000
Co1 Co 0.0000 0.0000 0.0000
```

The value obtained for the total magnetic moment is 0.00 μB per formula unit. The density of states at the Fermi level comes out at 5.45 states/eV per cell. For the energy of formation, the calculation gives -81 meV/atom. For the calculated volume, the calculation gives 152.77 Å³/cell. The calculation puts the uncorrected energy at -18.81 eV per formula unit.

Computed, not measured: crystalline CaLaY2Co at its relaxed geometry at the PBE level of DFT.

The structure in CIF format:
```
data_CaLaY2Co
_space_group_name_H-M_alt 'P 4/m m m'
_space_group_IT_number 123
_space_group_name_Hall '-P 4 2'
_cell_length_a 5.2713
_cell_length_b 5.2713
_cell_length_c 5.6297
_cell_angle_alpha 90.00
_cell_angle_beta 90.00
_cell_angle_gamma 90.00
loop_
_atom_site_label
_atom_site_type_symbol
_atom_site_fract_x
_atom_site_fract_y
_atom_site_fract_z
Ca1 Ca 0.0000 0.0000 0.0000
La1 La 0.5000 0.5000 0.0000
Y1 Y 0.0000 0.5000 0.5000
Co1 Co 0.0000 0.0000 0.5000
```

The value obtained for the total magnetic moment is 0.00 μB per formula unit. The density of states at the Fermi level comes out at 5.59 states/eV per cell. For the energy of formation, the calculation gives 46 meV/atom. For the calculated volume, the calculation gives 156.43 Å³/cell. The calculation puts the uncorrected energy at -26.73 eV per formula unit.

Computed, not measured: crystalline CaLa2YCo at its relaxed geometry at the PBE level of DFT.

The structure in CIF format:
```
data_CaLa2YCo
_space_group_name_H-M_alt 'P 4/m m m'
_space_group_IT_number 123
_space_group_name_Hall '-P 4 2'
_cell_length_a 5.4290
_cell_length_b 5.4290
_cell_length_c 5.6194
_cell_angle_alpha 90.00
_cell_angle_beta 90.00
_cell_angle_gamma 90.00
loop_
_atom_site_label
_atom_site_type_symbol
_atom_site_fract_x
_atom_site_fract_y
_atom_site_fract_z
Ca1 Ca 0.0000 0.0000 0.0000
La1 La 0.0000 0.5000 0.5000
Y1 Y 0.5000 0.5000 0.0000
Co1 Co 0.5000 0.5000 0.5000
```

The value obtained for the total magnetic moment is 0.00 μB per formula unit. The density of states at the Fermi level comes out at 6.14 states/eV per cell. For the energy of formation, the calculation gives -56 meV/atom. For the calculated volume, the calculation gives 165.62 Å³/cell. The calculation puts the uncorrected energy at -25.71 eV per formula unit.

Computed, not measured: crystalline CaLaY2Co at its relaxed geometry at the PBE level of DFT.

The structure in CIF format:
```
data_CaLaY2Co
_space_group_name_H-M_alt 'P 4/m m m'
_space_group_IT_number 123
_space_group_name_Hall '-P 4 2'
_cell_length_a 5.4647
_cell_length_b 5.4647
_cell_length_c 5.3458
_cell_angle_alpha 90.00
_cell_angle_beta 90.00
_cell_angle_gamma 90.00
loop_
_atom_site_label
_atom_site_type_symbol
_atom_site_fract_x
_atom_site_fract_y
_atom_site_fract_z
Ca1 Ca 0.0000 0.0000 0.0000
La1 La 0.5000 0.5000 0.0000
Y1 Y 0.0000 0.5000 0.5000
Co1 Co 0.5000 0.5000 0.5000
```

The value obtained for the total magnetic moment is 0.00 μB per formula unit. The density of states at the Fermi level comes out at 5.93 states/eV per cell. For the energy of formation, the calculation gives -57 meV/atom. For the calculated volume, the calculation gives 159.64 Å³/cell. The calculation puts the uncorrected energy at -27.25 eV per formula unit.

Computed, not measured: crystalline CaLa2YCo at its relaxed geometry at the PBE level of DFT.

The structure in CIF format:
```
data_CaLa2YCo
_space_group_name_H-M_alt 'P 4/m m m'
_space_group_IT_number 123
_space_group_name_Hall '-P 4 2'
_cell_length_a 5.3481
_cell_length_b 5.3481
_cell_length_c 5.7470
_cell_angle_alpha 90.00
_cell_angle_beta 90.00
_cell_angle_gamma 90.00
loop_
_atom_site_label
_atom_site_type_symbol
_atom_site_fract_x
_atom_site_fract_y
_atom_site_fract_z
Ca1 Ca 0.0000 0.0000 0.0000
La1 La 0.0000 0.5000 0.5000
Y1 Y 0.5000 0.5000 0.0000
Co1 Co 0.0000 0.0000 0.5000
```

The value obtained for the total magnetic moment is 0.00 μB per formula unit. The density of states at the Fermi level comes out at 7.09 states/eV per cell. For the energy of formation, the calculation gives 70 meV/atom. For the calculated volume, the calculation gives 164.38 Å³/cell. The calculation puts the uncorrected energy at -25.08 eV per formula unit.